Material: Na2ZnTcS4
Method: DFT, GGA-PBE
State: relaxed

Lattice parameters (Å, degrees): 6.5780 6.5780 6.5780 122.83 122.83 85.17
Fractional coordinates of all 8 atoms:
1 S 0.3625 0.3093 0.4229
2 S 0.0604 0.6375 0.9467
3 S 0.8863 0.9396 0.5770
4 S 0.6907 0.1137 0.0533
5 Na 0.2500 0.7500 0.5000
6 Na 0.5000 0.5000 0.0000
7 Zn 0.7500 0.2500 0.5000
8 Tc 0.0000 0.0000 0.0000

Calculated values
Theoretical density ... 2.9 g/cm3
Calculated volume ... 23.99 A^3/atom
Total DFT energy (no corrections) ... -4.487 eV per atom

---

Material: Na2ZrTe2S
Method: DFT, GGA-PBE
State: relaxed

Lattice parameters (Å, degrees): 7.2484 7.2484 7.5131 99.46 99.46 119.29
Fractional coordinates of all 12 atoms:
1 Na 0.8587 0.1413 0.0000
2 Na 0.0000 0.0000 0.5000
3 Na 0.1413 0.8587 0.0000
4 Na 0.5000 0.5000 0.0000
5 Te 0.0745 0.4387 0.7351
6 Te 0.5613 0.9255 0.2649
7 Te 0.9255 0.5613 0.2649
8 Te 0.4387 0.0745 0.7351
9 Zr 0.6482 0.3518 0.5000
10 Zr 0.3518 0.6482 0.5000
11 S 0.2985 0.2985 0.2912
12 S 0.7015 0.7015 0.7088

Calculated values
Theoretical density ... 4.3 g/cm3
Calculated volume ... 27.13 A^3/atom
Total DFT energy (no corrections) ... -4.674 eV per atom

---

Material: Na2TmWS4
Method: DFT, GGA-PBE
State: relaxed

Lattice parameters (Å, degrees): 6.3858 6.3858 6.8050 122.10 122.10 82.34
Fractional coordinates of all 8 atoms:
1 S 0.9446 0.6260 0.5256
2 S 0.6086 0.8724 0.9552
3 S 0.1276 0.3914 0.0448
4 S 0.3740 0.0554 0.4744
5 Na 0.5145 0.4855 0.0000
6 Na 0.7643 0.2357 0.5000
7 Tm 0.0146 0.9854 0.0000
8 W 0.2646 0.7354 0.5000

Calculated values
Theoretical density ... 4.5 g/cm3
Calculated volume ... 24.35 A^3/atom
Total DFT energy (no corrections) ... -5.439 eV per atom

---

Material: Na2US4
Method: DFT, GGA-PBE
State: relaxed

Lattice parameters (Å, degrees): 8.1036 11.6606 4.0436 90.00 90.00 90.00
Fractional coordinates of all 14 atoms:
1 U 0.5000 0.5000 0.0000
2 U 0.0000 0.0000 0.0000
3 S 0.2048 0.0023 0.5000
4 S 0.9948 0.2118 0.0000
5 S 0.0052 0.7882 0.0000
6 S 0.2952 0.5023 0.5000
7 S 0.4948 0.2882 0.0000
8 S 0.7952 0.9977 0.5000
9 S 0.7048 0.4977 0.5000
10 S 0.5052 0.7118 0.0000
11 Na 0.2437 0.2530 0.5000
12 Na 0.7563 0.7470 0.5000
13 Na 0.2563 0.7530 0.5000
14 Na 0.7437 0.2470 0.5000

Calculated values
Theoretical density ... 3.6 g/cm3
Calculated volume ... 27.29 A^3/atom
Total DFT energy (no corrections) ... -5.546 eV per atom

---

Material: Na3US4
Method: DFT, GGA-PBE
State: relaxed

Lattice parameters (Å, degrees): 6.9212 6.9212 4.0264 90.00 90.00 108.58
Fractional coordinates of all 8 atoms:
1 S 0.7767 0.7767 0.0000
2 S 0.2249 0.7751 0.5000
3 S 0.7751 0.2249 0.5000
4 S 0.2233 0.2233 0.0000
5 Na 0.5000 0.0000 0.0000
6 Na 0.0000 0.5000 0.0000
7 Na 0.5000 0.5000 0.5000
8 U 0.0000 0.0000 0.5000

Calculated values
Theoretical density ... 4.0 g/cm3
Calculated volume ... 22.85 A^3/atom
Total DFT energy (no corrections) ... -5.261 eV per atom

---

Material: NaW3S5
Method: DFT, GGA-PBE
State: relaxed

Lattice parameters (Å, degrees): 5.6080 5.6080 7.0586 90.00 90.00 120.00
Fractional coordinates of all 9 atoms:
1 Na 0.0000 0.0000 0.0000
2 S 0.3333 0.6667 0.2387
3 S 0.3333 0.6667 0.7613
4 S 0.0000 0.0000 0.5000
5 S 0.6667 0.3333 0.2387
6 S 0.6667 0.3333 0.7613
7 W 0.5000 0.0000 0.5000
8 W 0.5000 0.5000 0.5000
9 W 0.0000 0.5000 0.5000

Calculated values
Theoretical density ... 6.3 g/cm3
Calculated volume ... 21.36 A^3/atom
Total DFT energy (no corrections) ... -6.952 eV per atom

---

Material: Na6ZnS4
Method: DFT, GGA-PBE
State: relaxed

Lattice parameters (Å, degrees): 8.9386 8.9380 6.8638 90.00 90.00 120.00
Fractional coordinates of all 22 atoms:
1 S 0.6667 0.3333 0.0951
2 S 0.6252 0.8126 0.1410
3 S 0.8126 0.1874 0.6410
4 S 0.1874 0.8126 0.1410
5 S 0.1874 0.3748 0.1410
6 S 0.8126 0.6252 0.6410
7 S 0.3748 0.1874 0.6410
8 S 0.3333 0.6667 0.5951
9 Na 0.8524 0.7047 0.0388
10 Na 0.1476 0.2953 0.5388
11 Na 0.5304 0.0607 0.3658
12 Na 0.7047 0.8524 0.5387
13 Na 0.2953 0.1476 0.0387
14 Na 0.8523 0.1476 0.0387
15 Na 0.4696 0.9393 0.8658
16 Na 0.1477 0.8524 0.5387
17 Na 0.0607 0.5304 0.8658
18 Na 0.5304 0.4696 0.3658
19 Na 0.9393 0.4696 0.3658
20 Na 0.4696 0.5304 0.8658
21 Zn 0.3333 0.6667 0.2477
22 Zn 0.6667 0.3333 0.7477

Calculated values
Theoretical density ... 2.3 g/cm3
Calculated volume ... 21.59 A^3/atom
Total DFT energy (no corrections) ... -3.380 eV per atom

---

Material: Na2ZrS3
Method: DFT, GGA-PBE
State: relaxed

Lattice parameters (Å, degrees): 13.4630 3.8014 11.4137 90.00 90.00 90.00
Fractional coordinates of all 24 atoms:
1 S 0.4058 0.2500 0.3527
2 S 0.9058 0.2500 0.1473
3 S 0.3887 0.2500 0.7905
4 S 0.1113 0.7500 0.2905
5 S 0.6113 0.7500 0.2095
6 S 0.8887 0.2500 0.7095
7 S 0.0942 0.7500 0.8527
8 S 0.5942 0.7500 0.6473
9 S 0.8916 0.7500 0.4500
10 S 0.3916 0.7500 0.0500
11 S 0.6084 0.2500 0.9500
12 S 0.1084 0.2500 0.5500
13 Na 0.4570 0.2500 0.5844
14 Na 0.7381 0.2500 0.5668
15 Na 0.2619 0.7500 0.4332
16 Na 0.7619 0.7500 0.0668
17 Na 0.9570 0.2500 0.9156
18 Na 0.5430 0.7500 0.4156
19 Na 0.2381 0.2500 0.9332
20 Na 0.0430 0.7500 0.0844
21 Zr 0.5078 0.7500 0.8439
22 Zr 0.9922 0.2500 0.3439
23 Zr 0.4922 0.2500 0.1561
24 Zr 0.0078 0.7500 0.6561

Calculated values
Theoretical density ... 2.7 g/cm3
Calculated volume ... 24.34 A^3/atom
Total DFT energy (no corrections) ... -5.200 eV per atom

---

> Which value of total DFT energy (no corrections) does entry 8 give?

-5.200 eV per atom